[1]
DFT (PBE) results for an optimized crystal structure of Pm2YGa3.

## Properties
DFT total energy: -28.54 eV per cell
ΔE to the lowest computed polymorph: 0 meV per atom
total magnetization: 0.0 Bohr magnetons per cell
energy of formation: -0.5827 eV per atom

a = 3.628 Å, b = 3.628 Å, c = 10.986 Å
α = 90.00°, β = 90.00°, γ = 90.00°
Space group P4/mmm (No. 123)
Inequivalent atoms, fractional coordinates:
1 Pm 0.000 0.000 0.170 [2 per cell]
2 Y 0.000 0.000 0.500 [1 per cell]
3 Ga 0.500 0.500 0.000 [1 per cell]
4 Ga 0.500 0.500 0.342 [2 per cell]

[2]
DFT (PBE) results for an optimized crystal structure of Pm2YGa2.

## Properties
DFT total energy: -49.26 eV per cell
ΔE to the lowest computed polymorph: 0 meV per atom
total magnetization: 0.0 Bohr magnetons per cell
energy of formation: -0.5219 eV per atom

a = 7.743 Å, b = 7.743 Å, c = 4.487 Å
α = 90.00°, β = 90.00°, γ = 90.00°
Space group P4/mbm (No. 127)
Inequivalent atoms, fractional coordinates:
1 Pm 0.174 0.326 0.000 [4 per cell]
2 Y 0.000 0.000 0.500 [2 per cell]
3 Ga 0.119 0.619 0.500 [4 per cell]

[3]
DFT (PBE) results for an optimized crystal structure of PmY2Ga6.

## Properties
DFT total energy: -80.48 eV per cell
ΔE to the lowest computed polymorph: 177 meV per atom
total magnetization: 0.0 Bohr magnetons per cell
energy of formation: -0.4890 eV per atom

a = 4.341 Å, b = 7.095 Å, c = 13.271 Å
α = 90.00°, β = 90.00°, γ = 90.00°
Space group Immm (No. 71)
Inequivalent atoms, fractional coordinates:
1 Pm 0.000 0.000 0.000 [2 per cell]
2 Y 0.000 0.500 0.127 [4 per cell]
3 Ga 0.000 0.184 0.500 [4 per cell]
4 Ga 0.000 0.307 0.316 [8 per cell]

[4]
DFT (PBE) results for an optimized crystal structure of PmYGa.

## Properties
DFT total energy: -30.68 eV per cell
ΔE to the lowest computed polymorph: 21 meV per atom
total magnetization: 0.0 Bohr magnetons per cell
energy of formation: -0.3660 eV per atom

a = 3.520 Å, b = 3.520 Å, c = 13.338 Å
α = 90.00°, β = 90.00°, γ = 90.00°
Space group I4mm (No. 107)
Inequivalent atoms, fractional coordinates:
1 Pm 0.000 0.000 0.000 [2 per cell]
2 Y 0.000 0.000 0.288 [2 per cell]
3 Ga 0.000 0.000 0.649 [2 per cell]

[5]
DFT (PBE) results for an optimized crystal structure of Pm4Y3Ga4.

## Properties
DFT total energy: -110.37 eV per cell
total magnetization: 0.0 Bohr magnetons per cell
energy of formation: -0.4255 eV per atom

a = 3.570 Å, b = 9.079 Å, c = 18.335 Å
α = 90.00°, β = 90.00°, γ = 90.00°
Space group Immm (No. 71)
Inequivalent atoms, fractional coordinates:
1 Pm 0.000 0.177 0.166 [8 per cell]
2 Y 0.000 0.000 0.407 [4 per cell]
3 Y 0.000 0.500 0.500 [2 per cell]
4 Ga 0.000 0.277 0.000 [4 per cell]
5 Ga 0.000 0.500 0.223 [4 per cell]

[6]
DFT (PBE) results for an optimized crystal structure of PmYGa.

## Properties
DFT total energy: -30.78 eV per cell
ΔE to the lowest computed polymorph: 5 meV per atom
total magnetization: 0.0 Bohr magnetons per cell
energy of formation: -0.3821 eV per atom

a = 5.2765 Å, b = 5.2765 Å, c = 6.6024 Å
α = 90.00°, β = 90.00°, γ = 120.00°
Space group P6_3/mmc (No. 194)
Inequivalent atoms, fractional coordinates:
1 Pm 0.0000 0.0000 0.0000 [2 per cell]
2 Y 0.3333 0.6667 0.2500 [2 per cell]
3 Ga 0.3333 0.6667 0.7500 [2 per cell]

[7]
DFT (PBE) results for an optimized crystal structure of Pm3YGa8.

## Properties
DFT total energy: -155.42 eV per cell
total magnetization: 0.0 Bohr magnetons per cell
energy of formation: -0.5729 eV per atom

a = 5.5657 Å, b = 5.5657 Å, c = 27.5816 Å
α = 90.00°, β = 90.00°, γ = 120.00°
Space group R3m (No. 160, hexagonal axes)
Inequivalent atoms, fractional coordinates:
1 Pm 0.0000 0.0000 0.0000 [3 per cell]
2 Pm 0.0000 0.0000 0.1243 [3 per cell]
3 Pm 0.0000 0.0000 0.5001 [3 per cell]
4 Y 0.0000 0.0000 0.6239 [3 per cell]
5 Ga 0.0000 0.0000 0.3118 [3 per cell]
6 Ga 0.0000 0.0000 0.8124 [3 per cell]
7 Ga 0.9997 0.4998 0.0614 [9 per cell]
8 Ga 0.0003 0.5001 0.5627 [9 per cell]

[8]
DFT (PBE) results for an optimized crystal structure of PmYGa4.

## Properties
DFT total energy: -54.65 eV per cell
ΔE to the lowest computed polymorph: 11 meV per atom
total magnetization: 0.0 Bohr magnetons per cell
energy of formation: -0.6668 eV per atom

a = 4.208 Å, b = 4.208 Å, c = 14.772 Å
α = 90.00°, β = 90.00°, γ = 90.00°
Space group I-4m2 (No. 119)
Inequivalent atoms, fractional coordinates:
1 Pm 0.000 0.000 0.000 [2 per cell]
2 Y 0.000 0.500 0.250 [2 per cell]
3 Ga 0.000 0.000 0.417 [4 per cell]
4 Ga 0.000 0.500 0.668 [4 per cell]

[9]
DFT (PBE) results for an optimized crystal structure of PmYGa2.

## Properties
DFT total energy: -19.64 eV per cell
total magnetization: 0.0 Bohr magnetons per cell
energy of formation: -0.5929 eV per atom

a = 3.624 Å, b = 3.624 Å, c = 7.241 Å
α = 90.00°, β = 90.00°, γ = 90.00°
Space group P4/mmm (No. 123)
Inequivalent atoms, fractional coordinates:
1 Pm 0.000 0.000 0.000 [1 per cell]
2 Y 0.000 0.000 0.500 [1 per cell]
3 Ga 0.500 0.500 0.261 [2 per cell]

[10]
DFT (PBE) results for an optimized crystal structure of PmYGa4.

## Properties
DFT total energy: -27.39 eV per cell
ΔE to the lowest computed polymorph: 0 meV per atom
total magnetization: 0.0 Bohr magnetons per cell
energy of formation: -0.6783 eV per atom

a = 4.2390 Å, b = 4.2390 Å, c = 8.3818 Å
α = 90.00°, β = 90.00°, γ = 120.00°
Space group P6/mmm (No. 191)
Inequivalent atoms, fractional coordinates:
1 Pm 0.0000 0.0000 0.0000 [1 per cell]
2 Y 0.0000 0.0000 0.5000 [1 per cell]
3 Ga 0.3333 0.6667 0.2547 [4 per cell]

[11]
DFT (PBE) results for an optimized crystal structure of Pm2YGa3.

## Properties
DFT total energy: -57.05 eV per cell
ΔE to the lowest computed polymorph: 3 meV per atom
total magnetization: 0.0 Bohr magnetons per cell
energy of formation: -0.5796 eV per atom

a = 5.1394 Å, b = 5.1394 Å, c = 12.6514 Å
α = 90.00°, β = 90.00°, γ = 120.00°
Space group P-3m1 (No. 164)
Inequivalent atoms, fractional coordinates:
1 Pm 0.0000 0.0000 0.0000 [1 per cell]
2 Pm 0.0000 0.0000 0.5000 [1 per cell]
3 Pm 0.3333 0.6667 0.1695 [2 per cell]
4 Y 0.3333 0.6667 0.6667 [2 per cell]
5 Ga 0.0000 0.0000 0.2524 [2 per cell]
6 Ga 0.3333 0.6667 0.4180 [2 per cell]
7 Ga 0.3333 0.6667 0.9154 [2 per cell]

[12]
DFT (PBE) results for an optimized crystal structure of PmY3Ga3.

## Properties
DFT total energy: -72.72 eV per cell
total magnetization: 0.0 Bohr magnetons per cell
energy of formation: -0.4483 eV per atom

a = 9.2702 Å, b = 9.2702 Å, c = 4.7955 Å
α = 90.00°, β = 90.00°, γ = 120.00°
Space group P6_3/m (No. 176)
Inequivalent atoms, fractional coordinates:
1 Pm 0.3333 0.6667 0.2500 [2 per cell]
2 Y 0.0191 0.2582 0.7500 [6 per cell]
3 Ga 0.0574 0.6079 0.7500 [6 per cell]

[13]
DFT (PBE) results for an optimized crystal structure of PmYGa.

## Properties
DFT total energy: -61.61 eV per cell
ΔE to the lowest computed polymorph: 0 meV per atom
total magnetization: 0.0 Bohr magnetons per cell
energy of formation: -0.3871 eV per atom

a = 16.611 Å, b = 3.731 Å, c = 5.281 Å
α = 90.00°, β = 90.05°, γ = 90.00°
Space group C2/m (No. 12)
Inequivalent atoms, fractional coordinates:
1 Pm 0.075 0.000 0.249 [4 per cell]
2 Y 0.222 0.000 0.750 [4 per cell]
3 Ga 0.080 0.500 0.748 [4 per cell]

[14]
DFT (PBE) results for an optimized crystal structure of Pm2Y2Ga3.

## Properties
DFT total energy: -34.72 eV per cell
total magnetization: 0.0 Bohr magnetons per cell
energy of formation: -0.4580 eV per atom

a = 4.008 Å, b = 5.678 Å, c = 8.222 Å
α = 98.66°, β = 94.88°, γ = 91.59°
Space group P-1 (No. 2)
Inequivalent atoms, fractional coordinates:
1 Pm 0.223 0.038 0.174 [2 per cell]
2 Y 0.312 0.419 0.682 [2 per cell]
3 Ga 0.000 0.500 0.000 [1 per cell]
4 Ga 0.245 0.873 0.538 [2 per cell]

[15]
DFT (PBE) results for an optimized crystal structure of Pm2YGa4.

## Properties
DFT total energy: -64.93 eV per cell
total magnetization: 1.1 Bohr magnetons per cell
energy of formation: -0.6276 eV per atom

a = 4.184 Å, b = 4.316 Å, c = 18.651 Å
α = 90.00°, β = 90.00°, γ = 90.00°
Space group Immm (No. 71)
Inequivalent atoms, fractional coordinates:
1 Pm 0.000 0.000 0.184 [4 per cell]
2 Y 0.000 0.500 0.500 [2 per cell]
3 Ga 0.000 0.000 0.358 [4 per cell]
4 Ga 0.000 0.500 0.065 [4 per cell]

[16]
DFT (PBE) results for an optimized crystal structure of PmYGa.

## Properties
DFT total energy: -60.03 eV per cell
ΔE to the lowest computed polymorph: 132 meV per atom
total magnetization: 0.0 Bohr magnetons per cell
energy of formation: -0.2551 eV per atom

a = 7.114 Å, b = 7.114 Å, c = 7.114 Å
α = 90.00°, β = 90.00°, γ = 90.00°
Space group F-43m (No. 216)
Inequivalent atoms, fractional coordinates:
1 Pm 0.000 0.000 0.000 [4 per cell]
2 Y 0.000 0.000 0.500 [4 per cell]
3 Ga 0.250 0.250 0.250 [4 per cell]

[17]
DFT (PBE) results for an optimized crystal structure of Pm5YGa6.

## Properties
DFT total energy: -110.54 eV per cell
total magnetization: 0.0 Bohr magnetons per cell
energy of formation: -0.5743 eV per atom

a = 5.162 Å, b = 15.508 Å, c = 7.307 Å
α = 90.00°, β = 90.00°, γ = 90.00°
Space group Cmmm (No. 65)
Inequivalent atoms, fractional coordinates:
1 Pm 0.000 0.000 0.000 [2 per cell]
2 Pm 0.000 0.331 0.000 [4 per cell]
3 Pm 0.000 0.334 0.500 [4 per cell]
4 Y 0.000 0.000 0.500 [2 per cell]
5 Ga 0.000 0.164 0.254 [8 per cell]
6 Ga 0.000 0.500 0.252 [4 per cell]

[18]
DFT (PBE) results for an optimized crystal structure of PmY2Ga6.

## Properties
DFT total energy: -41.83 eV per cell
ΔE to the lowest computed polymorph: 0 meV per atom
total magnetization: 0.0 Bohr magnetons per cell
energy of formation: -0.6656 eV per atom

a = 7.3223 Å, b = 7.3223 Å, c = 4.1820 Å
α = 90.00°, β = 90.00°, γ = 120.00°
Space group P6/mmm (No. 191)
Inequivalent atoms, fractional coordinates:
1 Pm 0.0000 0.0000 0.0000 [1 per cell]
2 Y 0.3333 0.6667 0.0000 [2 per cell]
3 Ga 0.0000 0.3341 0.5000 [6 per cell]

[19]
DFT (PBE) results for an optimized crystal structure of PmY3Ga.

## Properties
DFT total energy: -110.51 eV per cell
total magnetization: 0.0 Bohr magnetons per cell
energy of formation: -0.0915 eV per atom

a = 11.945 Å, b = 9.009 Å, c = 7.770 Å
α = 90.00°, β = 130.24°, γ = 90.00°
Space group C2/m (No. 12)
Inequivalent atoms, fractional coordinates:
1 Pm 0.067 0.000 0.363 [4 per cell]
2 Y 0.054 0.500 0.279 [4 per cell]
3 Y 0.224 0.192 0.188 [8 per cell]
4 Ga 0.250 0.000 0.881 [4 per cell]

[20]
DFT (PBE) results for an optimized crystal structure of Pm2Y2ZnGa4.

## Properties
DFT total energy: -76.72 eV per cell
total magnetization: 0.0 Bohr magnetons per cell
energy of formation: -0.2833 eV per atom

a = 7.050 Å, b = 7.050 Å, c = 8.788 Å
α = 90.00°, β = 90.00°, γ = 90.00°
Space group I4/mmm (No. 139)
Inequivalent atoms, fractional coordinates:
1 Pm 0.000 0.000 0.187 [4 per cell]
2 Y 0.000 0.500 0.250 [4 per cell]
3 Zn 0.000 0.000 0.500 [2 per cell]
4 Ga 0.241 0.241 0.500 [8 per cell]

[21]
DFT (PBE) results for an optimized crystal structure of PmYZn2Ga2.

## Properties
DFT total energy: -23.27 eV per cell
total magnetization: 0.0 Bohr magnetons per cell
energy of formation: -0.5760 eV per atom

a = 4.4417 Å, b = 4.4417 Å, c = 7.3866 Å
α = 90.00°, β = 90.00°, γ = 120.00°
Space group P-3m1 (No. 164)
Inequivalent atoms, fractional coordinates:
1 Pm 0.0000 0.0000 0.0000 [1 per cell]
2 Y 0.0000 0.0000 0.5000 [1 per cell]
3 Zn 0.3333 0.6667 0.2654 [2 per cell]
4 Ga 0.3333 0.6667 0.7404 [2 per cell]

[22]
DFT (PBE) results for an optimized crystal structure of PmZn6Ga6.

## Properties
DFT total energy: -64.71 eV per cell
total magnetization: 0.0 Bohr magnetons per cell
energy of formation: -0.1385 eV per atom

a = 5.649 Å, b = 8.904 Å, c = 9.068 Å
α = 90.00°, β = 90.00°, γ = 90.00°
Space group Immm (No. 71)
Inequivalent atoms, fractional coordinates:
1 Pm 0.000 0.000 0.000 [2 per cell]
2 Zn 0.000 0.271 0.500 [4 per cell]
3 Zn 0.250 0.250 0.250 [8 per cell]
4 Ga 0.000 0.000 0.351 [4 per cell]
5 Ga 0.000 0.353 0.000 [4 per cell]
6 Ga 0.000 0.500 0.310 [4 per cell]

[23]
DFT (PBE) results for an optimized crystal structure of PmZn2Ga.

## Properties
DFT total energy: -48.36 eV per cell
total magnetization: 0.0 Bohr magnetons per cell
energy of formation: -0.4412 eV per atom

a = 6.607 Å, b = 4.554 Å, c = 10.405 Å
α = 90.00°, β = 90.00°, γ = 90.00°
Space group Amm2 (No. 38)
Inequivalent atoms, fractional coordinates:
1 Pm 0.000 0.000 0.000 [2 per cell]
2 Pm 0.500 0.000 0.202 [2 per cell]
3 Zn 0.000 0.000 0.300 [2 per cell]
4 Zn 0.309 0.000 0.479 [4 per cell]
5 Zn 0.500 0.000 0.904 [2 per cell]
6 Ga 0.196 0.000 0.716 [4 per cell]

[24]
DFT (PBE) results for an optimized crystal structure of PmZn3Ga.

## Properties
DFT total energy: -27.31 eV per cell
total magnetization: 0.0 Bohr magnetons per cell
energy of formation: -0.4114 eV per atom

a = 6.014 Å, b = 6.030 Å, c = 6.004 Å
α = 90.00°, β = 119.48°, γ = 90.00°
Space group Cm (No. 8)
Inequivalent atoms, fractional coordinates:
1 Pm 0.000 0.000 0.000 [2 per cell]
2 Zn 0.001 0.248 0.501 [4 per cell]
3 Zn 0.121 0.500 0.241 [2 per cell]
4 Ga 0.387 0.000 0.774 [2 per cell]

[25]
DFT (PBE) results for an optimized crystal structure of PmZn2Ga.

## Properties
DFT total energy: -23.27 eV per cell
total magnetization: 0.0 Bohr magnetons per cell
energy of formation: -0.3274 eV per atom

a = 7.472 Å, b = 4.312 Å, c = 5.663 Å
α = 90.00°, β = 116.19°, γ = 90.00°
Space group C2/m (No. 12)
Inequivalent atoms, fractional coordinates:
1 Pm 0.000 0.000 0.000 [2 per cell]
2 Zn 0.216 0.000 0.647 [4 per cell]
3 Ga 0.000 0.500 0.500 [2 per cell]